! Li3MnF7 | the Alexandria database | PBE with a Hubbard U | relaxed; values from VASP
&SYSTEM
  ibrav = 0, nat = 11, ntyp = 3
/
ATOMIC_SPECIES
Li 6.94 Li.upf
Mn 54.94 Mn.upf
F 19.00 F.upf
ATOMIC_POSITIONS crystal
Li 0.6227 0.1005 0.6227
Li 0.1005 0.6227 0.6227
Li 0.6227 0.6227 0.1005
Mn 0.0026 0.0026 0.0026
F 0.7851 0.2089 0.7851
F 0.2089 0.7851 0.7851
F 0.7851 0.7851 0.2089
F 0.7442 0.7442 0.7442
F 0.2305 0.7904 0.2305
F 0.2305 0.2305 0.7904
F 0.7904 0.2305 0.2305
CELL_PARAMETERS angstrom
5.7086 -0.0325 -0.0238
2.4416 5.1602 -0.0238
2.4416 1.5361 4.9263
! **Final energy**: -0.366 Ry per atom
! **Crystal system**: trigonal